Na2MnFeF7 | GGA+U | relaxed

Summary:
Symmetry: Imma, No. 74
Uncorrected energy: -5.2767 eV per atom

a b c (Å): 7.5836 7.5836 7.5836
angles (deg): 120.95 119.08 89.98
Each line ends with the local moment (μB).
Sites, in units of the cell vectors:
Fe1 0.0000 0.5000 0.5000  4.48
F1 0.4417 0.6915 0.3622  0.09
Fe2 0.5000 0.0000 0.5000  4.48
F2 0.8148 0.0841 0.7307  0.08
F3 0.5583 0.3085 0.6378  0.09
F4 0.8533 0.5841 0.2693  0.08
F5 0.8293 0.5794 0.6378  0.09
F6 0.6201 0.7500 0.8701  0.05
Mn1 0.5000 0.0000 0.0000  4.70
F7 0.3799 0.2500 0.1299  0.05
F8 0.4417 0.0795 0.7501  0.09
F9 0.5583 0.9206 0.2499  0.09
F10 0.1707 0.4206 0.3622  0.09
F11 0.1852 0.9159 0.2693  0.08
F12 0.8293 0.1915 0.2499  0.09
F13 0.1707 0.8085 0.7501  0.09
Na1 0.0000 0.0000 0.0000  0.00
Mn2 0.5000 0.5000 0.5000  4.70
Na2 0.0000 0.0000 0.5000  0.00
Na3 0.0000 0.5000 0.0000  0.00
Na4 0.5000 0.5000 0.0000  0.00
F14 0.1467 0.4159 0.7307  0.08